Record 1
A plane-wave DFT calculation with GGA-PBE was carried out for crystalline K2Pd3Se4 at its relaxed geometry.

Output
ΔE_f (raw)	-708	meV per atom

abc: 6.4200 11.1934 26.6730
angles: 90.00 90.00 90.00
With the nearest neighbours (Å) after each atom.
Space group Fddd (No. 70, origin choice 2)
Asymmetric unit:
K 0.1250 0.1250 0.0516 (multiplicity 16)  8 Se 3.56-3.75, 6 Pd 3.76-3.79, 1 K 3.91
Pd 0.1250 0.1250 0.3759 (multiplicity 16)  4 Se 2.48-2.50
Pd 0.1250 0.1250 0.6250 (multiplicity 8)  4 Se 2.49
Se 0.1194 0.2913 0.5630 (multiplicity 32)  3 Pd 2.48-2.50

Record 2
A plane-wave DFT calculation with GGA-PBE was carried out for crystalline KPd3Se2 at its relaxed geometry.

Output
ΔE_f (raw)	-466	meV per atom
N(E_F)	0.66	states/eV/atom

abc: 15.4758 4.1234 8.8255
angles: 90.00 112.56 90.00
With the nearest neighbours (Å) after each atom.
Space group C2/m (No. 12)
Asymmetric unit:
K 0.1414 0.0000 0.0527 (multiplicity 4)  7 Se 3.35-3.48, 3 Pd 3.66-3.72
Pd 0.0553 0.0000 0.3927 (multiplicity 4)  3 Se 2.51-2.75
Pd 0.0938 0.5000 0.6354 (multiplicity 4)  3 Se 2.51-2.55
Pd 0.1876 0.5000 0.4177 (multiplicity 4)  2 Se 2.45-2.53
Se 0.0187 0.5000 0.2166 (multiplicity 4)  4 Pd 2.51-2.55
Se 0.1936 0.0000 0.7026 (multiplicity 4)  3 Pd 2.45-2.51

Record 3
A plane-wave DFT calculation with GGA-PBE was carried out for crystalline KPd2Se2 at its relaxed geometry.

Output
ΔE_f (raw)	-273	meV per atom
N(E_F)	0.68	states/eV/atom

abc: 7.9815 7.9815 3.1148
angles: 90.00 90.00 90.00
With the nearest neighbours (Å) after each atom.
Space group P4/mbm (No. 127)
Asymmetric unit:
K 0.0000 0.0000 0.0000 (multiplicity 2)  2 K 3.11, 4 Pd 3.14, 8 Se 3.32
Pd 0.1272 0.3728 0.0000 (multiplicity 4)  6 Se 2.68-2.93, 1 Pd 2.87
Se 0.1797 0.6797 0.5000 (multiplicity 4)  6 Pd 2.68-2.93

What is the ΔE_f (raw) in the first record?
-708 meV per atom

Among the records above, which one has the lowest ΔE_f (raw)?
K2Pd3Se4

Number 3 is which compound?
KPd2Se2

Look up the ΔE_f (raw) of the third one.
-273 meV per atom